(1)
First-principles (PBE) data for a relaxed LiPmNdHo crystal, as listed in the Alexandria database.

Cell lengths 5.588, 5.588, 5.588 Å; angles 60.00, 60.00, 60.00 degrees
Element x y z (fractional)
1 Li 0.000 0.000 0.000
2 Nd 0.250 0.250 0.250
3 Ho 0.750 0.750 0.750
4 Pm 0.500 0.500 0.500

Summary:
Space-group type: F-43m, No. 216
Total energy in eV per atom: -3.803
Density of states at the Fermi level in states/eV per cell: 4.80
Theoretical density in g/cm³: 6.21
Formation enthalpy at 0 K in eV per atom: 0.199

***

(2)
First-principles (PBE) data for a relaxed Ac2InAgIr crystal, as listed in the Alexandria database.

Cell lengths 4.533, 8.452, 8.113 Å; angles 112.40, 90.00, 90.00 degrees
Element x y z (fractional)
1 Ac 0.750 0.888 0.652
2 Ac 0.750 0.722 0.030
3 Ac 0.250 0.112 0.348
4 Ac 0.250 0.278 0.970
5 In 0.250 0.547 0.655
6 In 0.750 0.453 0.345
7 Ag 0.250 0.679 0.327
8 Ag 0.750 0.321 0.673
9 Ir 0.250 0.882 0.896
10 Ir 0.750 0.118 0.104

Summary:
Space-group type: P2_1/m, No. 11
Total energy in eV per atom: -5.013
Density of states at the Fermi level in states/eV per cell: 6.92
Theoretical density in g/cm³: 10.04
Formation enthalpy at 0 K in eV per atom: -0.479

***

(3)
First-principles (PBE) data for a relaxed YSi crystal, as listed in the Alexandria database.

Cell lengths 7.248, 7.248, 7.248 Å; angles 32.28, 32.28, 32.28 degrees
Element x y z (fractional)
1 Si 0.332 0.332 0.332
2 Si 0.668 0.668 0.668
3 Y 0.092 0.092 0.092
4 Y 0.908 0.908 0.908

Summary:
Space-group type: R-3m, No. 166
Total energy in eV per atom: -6.393
Density of states at the Fermi level in states/eV per cell: 2.41
Energy relative to the elements, uncorrected in eV/atom: -0.449
Theoretical density in g/cm³: 4.02

***

(4)
First-principles (PBE) data for a relaxed TmPaAl crystal, as listed in the Alexandria database.

Cell lengths 3.246, 3.246, 15.728 Å; angles 90.00, 90.00, 120.00 degrees
Element x y z (fractional)
1 Tm 0.667 0.333 0.223
2 Tm 0.333 0.667 0.777
3 Pa 0.000 0.000 0.407
4 Pa 0.000 0.000 0.593
5 Al 0.667 0.333 0.935
6 Al 0.333 0.667 0.065

Summary:
Space-group type: P-3m1, No. 164
Total energy in eV per atom: -5.851
Density of states at the Fermi level in states/eV per cell: 6.30
Theoretical density in g/cm³: 9.88
Formation enthalpy at 0 K in eV per atom: 0.052
Relative energy among the computed polymorphs in meV per atom: 126

***

(5)
First-principles (PBE) data for a relaxed Zn2TcMo crystal, as listed in the Alexandria database.

Cell lengths 2.667, 4.238, 5.197 Å; angles 90.00, 90.00, 90.00 degrees
Element x y z (fractional)
1 Mo 0.500 0.500 0.250
2 Tc 0.500 0.500 0.750
3 Zn 0.000 0.000 0.997
4 Zn 0.000 0.000 0.503

Summary:
Space-group type: Pmmm, No. 47
Total energy in eV per atom: -5.761
Density of states at the Fermi level in states/eV per cell: 3.12
Theoretical density in g/cm³: 9.18
Formation enthalpy at 0 K in eV per atom: 0.176
Relative energy among the computed polymorphs in meV per atom: 142

***

(6)
First-principles (PBE) data for a relaxed Cd2CuAs crystal, as listed in the Alexandria database.

Cell lengths 2.997, 2.997, 8.478 Å; angles 90.00, 90.00, 90.00 degrees
Element x y z (fractional)
1 As 0.500 0.500 0.750
2 Cd 0.000 0.000 0.030
3 Cd 0.000 0.000 0.470
4 Cu 0.500 0.500 0.250

Summary:
Space-group type: P4/mmm, No. 123
Total energy in eV per atom: -2.489
Density of states at the Fermi level in states/eV per cell: 1.17
Theoretical density in g/cm³: 7.92
Formation enthalpy at 0 K in eV per atom: 0.155

***

> The highest total energy belongs to which entry?

Cd2CuAs

***

> The highest theoretical density belongs to which entry?

Ac2InAgIr

***

Repeat the third record exactly.
First-principles (PBE) data for a relaxed YSi crystal, as listed in the Alexandria database.

Cell lengths 7.248, 7.248, 7.248 Å; angles 32.28, 32.28, 32.28 degrees
Element x y z (fractional)
1 Si 0.332 0.332 0.332
2 Si 0.668 0.668 0.668
3 Y 0.092 0.092 0.092
4 Y 0.908 0.908 0.908

Summary:
Space-group type: R-3m, No. 166
Total energy in eV per atom: -6.393
Density of states at the Fermi level in states/eV per cell: 2.41
Energy relative to the elements, uncorrected in eV/atom: -0.449
Theoretical density in g/cm³: 4.02

***

Repeat the second record exactly.
First-principles (PBE) data for a relaxed Ac2InAgIr crystal, as listed in the Alexandria database.

Cell lengths 4.533, 8.452, 8.113 Å; angles 112.40, 90.00, 90.00 degrees
Element x y z (fractional)
1 Ac 0.750 0.888 0.652
2 Ac 0.750 0.722 0.030
3 Ac 0.250 0.112 0.348
4 Ac 0.250 0.278 0.970
5 In 0.250 0.547 0.655
6 In 0.750 0.453 0.345
7 Ag 0.250 0.679 0.327
8 Ag 0.750 0.321 0.673
9 Ir 0.250 0.882 0.896
10 Ir 0.750 0.118 0.104

Summary:
Space-group type: P2_1/m, No. 11
Total energy in eV per atom: -5.013
Density of states at the Fermi level in states/eV per cell: 6.92
Theoretical density in g/cm³: 10.04
Formation enthalpy at 0 K in eV per atom: -0.479